[1]
KBe2B3O7 at its PBEsol-relaxed geometry, computed with meta-GGA SCAN.

Summary:
- N(E_F): 0.000 states/eV per atom
- Energy above the lowest structure with this stoichiometry: 0.00 eV per formula unit
- Energy relative to the elements, uncorrected: -2.7433 eV/atom
- E: -237.21 eV per cell

```
26
Lattice="5.2075 -4.5010 0.0000 5.2075 4.5010 0.0000 -2.7263 0.0000 5.9378" Properties=species:S:1:pos:R:3 pbc="T T T"
K 3.1628 2.9151 4.4534
K 4.5259 -2.9151 1.4845
Be 3.1729 2.6058 0.9339
Be 5.8790 2.6058 2.0350
Be 1.8097 -2.6058 3.9028
Be 4.5159 -2.6058 5.0039
B 2.0877 0.1667 1.0861
B 0.7245 -0.1667 4.0551
B 4.5259 0.4446 1.4845
B 3.1628 -0.4446 4.4534
B 6.9642 0.1667 1.8828
B 5.6011 -0.1667 4.8517
O 1.9827 1.4897 0.6941
O -0.3417 0.6402 4.1317
O 1.0214 -0.6402 1.1628
O 4.5259 1.8179 1.4845
O 2.0114 0.3153 4.3677
O 0.6196 -1.4897 3.6630
O 3.3745 -0.3153 1.3988
O 4.3142 0.3153 4.5391
O 7.0691 1.4897 2.2749
O 5.6773 -0.3153 1.5702
O 3.1628 -1.8179 4.4534
O 6.6673 0.6402 4.7751
O 8.0305 -0.6402 1.8062
O 5.7060 -1.4897 5.2438
```


[2]
KBe2B3O7 at its PBEsol-relaxed geometry, computed with meta-GGA SCAN.

Summary:
- N(E_F): 0.000 states/eV per atom
- Energy above the lowest structure with this stoichiometry: 0.18 eV per formula unit
- Energy relative to the elements, uncorrected: -2.7294 eV/atom
- E: -473.70 eV per cell

```
52
Lattice="7.6434 0.0000 0.0000 0.0000 17.5342 0.0000 0.0000 0.0000 4.3841" Properties=species:S:1:pos:R:3 pbc="T T T"
K 0.0000 2.3255 0.0000
K 0.0000 11.3125 2.6279
K 3.8217 6.2217 0.4359
K 3.8217 15.2087 2.1921
Be 1.3510 8.1120 3.0448
Be 1.4450 16.8042 0.1094
Be 2.3767 0.7300 2.3014
Be 2.4707 9.4222 0.8527
Be 5.1727 9.4222 0.8527
Be 5.2667 0.7300 2.3014
Be 6.1984 16.8042 0.1094
Be 6.2923 8.1120 3.0448
B 0.0000 8.5982 0.8236
B 0.0000 17.1711 2.2890
B 1.2276 14.3025 4.1481
B 1.2777 5.3851 2.5762
B 2.5440 12.1492 0.3841
B 2.5941 3.2317 1.9561
B 3.8217 0.3631 0.0969
B 3.8217 8.9360 3.0157
B 5.0493 3.2317 1.9561
B 5.0994 12.1492 0.3841
B 6.3657 5.3851 2.5762
B 6.4158 14.3025 4.1481
O 0.0000 4.8500 2.4132
O 0.0000 8.5982 3.8353
O 0.0000 14.5956 3.5407
O 0.0000 17.0480 0.9127
O 1.1923 8.6273 1.5031
O 1.2067 17.2927 2.9508
O 1.4964 12.9479 4.2956
O 1.6083 6.5608 3.1051
O 1.7945 2.2354 2.3576
O 2.0272 15.2988 0.1655
O 2.2134 10.9734 0.9130
O 2.3253 4.5863 2.1035
O 2.6150 0.2415 0.7588
O 2.6294 8.9069 3.6952
O 3.8217 0.4862 3.1047
O 3.8217 2.9386 1.3486
O 3.8217 8.9360 1.6432
O 3.8217 12.6842 0.2211
O 5.0139 8.9069 3.6952
O 5.0284 0.2415 0.7588
O 5.3181 4.5863 2.1035
O 5.4300 10.9734 0.9130
O 5.6161 15.2988 0.1655
O 5.8489 2.2354 2.3576
O 6.0351 6.5608 3.1051
O 6.1470 12.9479 4.2956
O 6.4367 17.2927 2.9508
O 6.4511 8.6273 1.5031
```


[3]
LiBeB3 at its PBEsol-relaxed geometry, computed with meta-GGA SCAN.

Summary:
- N(E_F): 0.366 states/eV per atom
- E: -22.33 eV per cell

```
5
Lattice="3.5513 0.0000 0.0000 0.0000 3.5513 0.0000 0.0000 0.0000 3.5513" Properties=species:S:1:pos:R:3 pbc="T T T"
Li 0.0000 0.0000 0.0000
Be 1.7756 1.7756 1.7756
B 0.0000 1.7756 1.7756
B 1.7756 0.0000 1.7756
B 1.7756 1.7756 0.0000
```


[4]
LiBeB at its PBEsol-relaxed geometry, computed with meta-GGA SCAN.

Summary:
- N(E_F): 0.103 states/eV per atom
- E: -29.22 eV per cell

```
6
Lattice="3.7003 0.0000 0.0000 0.0000 2.9874 0.0000 -0.8393 0.0000 5.5694" Properties=species:S:1:pos:R:3 pbc="T T T"
Li 0.5447 0.7469 1.8974
Li 2.3163 2.2406 3.6720
Be 0.5602 0.7469 4.9332
Be 2.3008 2.2406 0.6362
B 0.4113 2.2406 0.1492
B 2.4497 0.7469 5.4202
```


[5]
LiBeBO3 at its PBEsol-relaxed geometry, computed with meta-GGA SCAN.

Summary:
- N(E_F): 0.000 states/eV per atom
- Energy relative to the elements, uncorrected: -2.7347 eV/atom
- E: -98.55 eV per cell

```
12
Lattice="4.6214 0.0000 0.0000 2.2552 4.0986 0.0000 1.7932 1.4800 5.3410" Properties=species:S:1:pos:R:3 pbc="T T T"
Li 1.7105 0.7710 0.8708
Li 6.9594 4.8076 4.4702
Be 2.4506 2.0891 3.5041
Be 6.2192 3.4895 1.8369
B 4.6449 3.5278 3.9050
B 4.0249 2.0508 1.4360
O 4.1427 4.7861 3.9479
O 2.6816 2.2381 1.8082
O 3.8578 2.4399 4.2341
O 4.8120 3.1387 1.1069
O 5.9883 3.3405 3.5328
O 4.5272 0.7925 1.3931
```


[6]
Mn2BeB2 at its PBEsol-relaxed geometry, computed with meta-GGA SCAN.

Summary:
- N(E_F): 0.048 states/eV per atom
- E: -116.80 eV per cell

```
10
Lattice="5.2046 0.0000 0.0000 0.0000 5.2046 0.0000 0.0000 0.0000 2.8003" Properties=species:S:1:pos:R:3 pbc="T T T"
Mn 0.9065 1.6958 0.0000
Mn 1.6958 4.2981 0.0000
Mn 3.5088 0.9065 0.0000
Mn 4.2981 3.5088 0.0000
Be 0.0000 0.0000 1.4001
Be 2.6023 2.6023 1.4001
B 0.6265 3.2288 1.4001
B 1.9758 0.6265 1.4001
B 3.2288 4.5781 1.4001
B 4.5781 1.9758 1.4001
```


[7]
BeBMo2 at its PBEsol-relaxed geometry, computed with meta-GGA SCAN.

Summary:
- N(E_F): 0.743 states/eV per atom
- E: -80.49 eV per cell

```
4
Lattice="0.0000 2.8012 2.8012 2.8012 0.0000 2.8012 2.8012 2.8012 0.0000" Properties=species:S:1:pos:R:3 pbc="T T T"
Be 0.0000 0.0000 0.0000
B 2.8012 2.8012 2.8012
Mo 1.4006 1.4006 1.4006
Mo 4.2018 4.2018 4.2018
```


[8]
Be2BMoRu at its PBEsol-relaxed geometry, computed with meta-GGA SCAN.

Summary:
- N(E_F): 0.404 states/eV per atom
- E: -84.31 eV per cell

```
5
Lattice="3.6590 0.0000 0.0000 0.0000 3.6590 0.0000 0.0000 0.0000 4.1468" Properties=species:S:1:pos:R:3 pbc="T T T"
Be 0.0000 1.8295 0.0000
Be 1.8295 0.0000 0.0000
B 0.0000 0.0000 0.0000
Mo 0.0000 0.0000 2.0734
Ru 1.8295 1.8295 2.0734
```


[9]
BeBN2O at its PBEsol-relaxed geometry, computed with meta-GGA SCAN.

Summary:
- N(E_F): 0.308 states/eV per atom
- Energy relative to the elements, uncorrected: 1.6966 eV/atom
- E: -28.11 eV per cell

```
5
Lattice="3.5714 0.0000 0.0000 0.0000 3.5714 0.0000 0.0000 0.0000 3.0412" Properties=species:S:1:pos:R:3 pbc="T T T"
Be 0.0000 0.0000 0.0000
B 1.7857 1.7857 1.5206
N 0.0000 1.7857 0.0000
N 1.7857 0.0000 0.0000
O 0.0000 0.0000 1.5206
```


[10]
BeBNO2 at its PBEsol-relaxed geometry, computed with meta-GGA SCAN.

Summary:
- N(E_F): 0.331 states/eV per atom
- Energy relative to the elements, uncorrected: 0.7223 eV/atom
- E: -29.93 eV per cell

```
5
Lattice="2.9111 0.0000 0.0000 0.0000 2.9111 0.0000 0.0000 0.0000 5.8395" Properties=species:S:1:pos:R:3 pbc="T T T"
Be 0.0000 0.0000 0.0000
B 1.4555 1.4555 2.9198
N 0.0000 0.0000 2.9198
O 0.0000 1.4555 0.0000
O 1.4555 0.0000 0.0000
```


[11]
BeBSe2N at its PBEsol-relaxed geometry, computed with meta-GGA SCAN.

Summary:
- N(E_F): 0.689 states/eV per atom
- Energy relative to the elements, uncorrected: 0.4168 eV/atom
- E: -59.15 eV per cell

```
5
Lattice="5.3424 0.0000 0.0000 0.0000 5.3424 0.0000 0.0000 0.0000 2.6428" Properties=species:S:1:pos:R:3 pbc="T T T"
Be 0.0000 0.0000 0.0000
B 2.6712 2.6712 1.3214
Se 0.0000 2.6712 1.3214
Se 2.6712 0.0000 1.3214
N 2.6712 2.6712 0.0000
```


[12]
YBeBN2 at its PBEsol-relaxed geometry, computed with meta-GGA SCAN.

Summary:
- N(E_F): 0.417 states/eV per atom
- Energy relative to the elements, uncorrected: 0.2850 eV/atom
- E: -56.78 eV per cell

```
5
Lattice="3.7144 0.0000 0.0000 0.0000 3.7144 0.0000 0.0000 0.0000 3.5555" Properties=species:S:1:pos:R:3 pbc="T T T"
Y 0.0000 0.0000 0.0000
Be 1.8572 1.8572 1.7777
B 1.8572 1.8572 0.0000
N 0.0000 1.8572 1.7777
N 1.8572 0.0000 1.7777
```


[13]
NaBeB3O6 at its PBEsol-relaxed geometry, computed with meta-GGA SCAN.

Summary:
- N(E_F): 0.000 states/eV per atom
- Energy relative to the elements, uncorrected: -2.6595 eV/atom
- E: -390.00 eV per cell

```
44
Lattice="9.1876 0.0000 0.0000 0.0000 11.9898 0.0000 0.0000 0.0000 4.3797" Properties=species:S:1:pos:R:3 pbc="T T T"
Na 1.6106 1.3693 0.0000
Na 2.9832 7.3642 2.1898
Na 6.2044 4.6256 0.0000
Na 7.5770 10.6206 2.1898
Be 0.8423 6.5028 0.2039
Be 3.7515 0.5079 2.3938
Be 5.4361 11.4819 0.2039
Be 8.3453 5.4870 2.3938
B 0.6326 9.0521 0.4374
B 0.7510 4.0292 0.9435
B 2.0402 10.7378 1.6453
B 2.5536 4.7429 3.8352
B 3.8428 10.0242 3.1334
B 3.9612 3.0572 2.6273
B 5.2264 8.9326 0.4374
B 5.3448 1.9657 0.9435
B 6.6340 7.2469 1.6453
B 7.1474 1.2520 3.8352
B 8.4366 7.9606 3.1334
B 8.5550 2.9377 2.6273
O 0.2592 2.8869 1.5459
O 0.3381 5.2910 1.2334
O 0.9394 10.3340 0.8998
O 1.0680 7.8990 0.9495
O 1.7817 3.7457 0.0606
O 2.2443 6.0399 3.9382
O 2.3495 0.0450 1.7484
O 2.8121 9.7406 2.2505
O 3.5258 1.9041 3.1393
O 3.6544 4.3391 3.0896
O 4.2557 11.2860 3.4233
O 4.3346 8.8818 3.7357
O 4.8530 3.1080 1.5459
O 4.9319 0.7039 1.2334
O 5.5332 7.6508 0.8998
O 5.6618 10.0858 0.9495
O 6.3755 2.2492 0.0606
O 6.8381 11.9449 3.9382
O 6.9433 5.9499 1.7484
O 7.4059 8.2442 2.2505
O 8.1196 4.0908 3.1393
O 8.2482 1.6559 3.0896
O 8.8495 6.6988 3.4233
O 8.9284 9.1029 3.7357
```


[14]
Be2BO4 at its PBEsol-relaxed geometry, computed with meta-GGA SCAN.

Summary:
- Energy relative to the elements, uncorrected: -2.5274 eV/atom
- E: -470.03 eV per cell

```
56
Lattice="4.4493 0.0000 0.0000 0.0000 9.5533 0.0000 0.0000 0.0000 12.4931" Properties=species:S:1:pos:R:3 pbc="T T T"
Be 1.0125 2.2736 0.8338
Be 1.0125 2.5030 7.0803
Be 1.0810 0.0419 2.4022
Be 1.0810 4.7348 8.6487
Be 1.1437 4.8185 2.4022
Be 1.1437 9.5114 8.6487
Be 1.2122 7.0503 0.8338
Be 1.2122 7.2796 7.0803
Be 3.2372 2.2736 5.4128
Be 3.2372 2.5030 11.6593
Be 3.3056 0.0419 3.8444
Be 3.3056 4.7348 10.0909
Be 3.3684 4.8185 3.8444
Be 3.3684 9.5114 10.0909
Be 3.4369 7.0503 5.4128
Be 3.4369 7.2796 11.6593
B 1.0363 1.0646 4.8515
B 1.0363 3.7120 11.0980
B 1.1883 5.8413 4.8515
B 1.1883 8.4886 11.0980
B 3.2610 1.0646 1.3951
B 3.2610 3.7120 7.6416
B 3.4130 5.8413 1.3951
B 3.4130 8.4886 7.6416
O 0.3391 5.7806 1.3443
O 0.3391 8.5493 7.5908
O 0.5077 5.1543 3.8822
O 0.5085 6.6069 5.7763
O 0.5085 7.7230 12.0229
O 0.5077 9.1756 10.1287
O 0.8624 1.4914 8.3104
O 0.8624 3.2853 2.0639
O 1.3623 6.2680 8.3104
O 1.3623 8.0619 2.0639
O 1.7170 0.3777 3.8822
O 1.7161 1.8303 5.7763
O 1.7161 2.9463 12.0229
O 1.7170 4.3990 10.1287
O 1.8856 1.0040 1.3443
O 1.8856 3.7727 7.5908
O 2.5638 5.7806 4.9023
O 2.5638 8.5493 11.1488
O 2.7323 5.1543 2.3644
O 2.7332 6.6069 0.4702
O 2.7332 7.7230 6.7168
O 2.7323 9.1756 8.6109
O 3.0870 1.4914 10.4292
O 3.0870 3.2853 4.1827
O 3.5870 6.2680 10.4292
O 3.5870 8.0619 4.1827
O 3.9417 0.3777 2.3644
O 3.9408 1.8303 0.4702
O 3.9408 2.9463 6.7168
O 3.9417 4.3990 8.6109
O 4.1102 1.0040 4.9023
O 4.1102 3.7727 11.1488
```


[15]
BeB2O at its PBEsol-relaxed geometry, computed with meta-GGA SCAN.

Summary:
- N(E_F): 0.500 states/eV per atom
- Energy relative to the elements, uncorrected: 1.8858 eV/atom
- E: -17.90 eV per cell

```
4
Lattice="0.0000 2.5040 2.5040 2.5040 0.0000 2.5040 2.5040 2.5040 0.0000" Properties=species:S:1:pos:R:3 pbc="T T T"
Be 0.0000 0.0000 0.0000
B 1.2520 1.2520 1.2520
B 3.7560 3.7560 3.7560
O 2.5040 2.5040 2.5040
```


[16]
BeBP2O at its PBEsol-relaxed geometry, computed with meta-GGA SCAN.

Summary:
- N(E_F): 0.523 states/eV per atom
- Energy relative to the elements, uncorrected: 0.2648 eV/atom
- E: -37.49 eV per cell

```
5
Lattice="4.7821 0.0000 0.0000 0.0000 4.7821 0.0000 0.0000 0.0000 2.6407" Properties=species:S:1:pos:R:3 pbc="T T T"
Be 0.0000 0.0000 0.0000
B 2.3911 2.3911 1.3203
P 0.0000 2.3911 1.3203
P 2.3911 0.0000 1.3203
O 2.3911 2.3911 0.0000
```


[17]
BeBSb2O at its PBEsol-relaxed geometry, computed with meta-GGA SCAN.

Summary:
- N(E_F): 0.368 states/eV per atom
- Energy relative to the elements, uncorrected: 0.3715 eV/atom
- E: -90.68 eV per cell

```
5
Lattice="5.2858 0.0000 0.0000 0.0000 5.2858 0.0000 0.0000 0.0000 3.0141" Properties=species:S:1:pos:R:3 pbc="T T T"
Be 0.0000 0.0000 0.0000
B 2.6429 2.6429 0.0000
Sb 0.0000 2.6429 1.5071
Sb 2.6429 0.0000 1.5071
O 0.0000 0.0000 1.5071
```


| no. | size of the total moment (μB per formula unit) |
| --- | --- |
| 1 | 0.00 |
| 2 | 0.00 |
| 3 | 0.00 |
| 4 | 0.00 |
| 5 | 0.00 |
| 6 | 0.00 |
| 7 | 0.00 |
| 8 | 0.00 |
| 9 | 3.36 |
| 10 | 0.49 |
| 11 | 0.12 |
| 12 | 0.00 |
| 13 | 0.00 |
| 14 | 1.00 |
| 15 | 1.06 |
| 16 | 0.00 |
| 17 | 0.00 |